No. 1
{
  "formula": "Ca2PrZn2",
  "functional": "GGA-PBE",
  "state": "relaxed",
  "formation_enthalpy_0k_ev_per_atom": -0.18,
  "crystal_system": "monoclinic",
  "total_energy_ev_per_atom": -2.445,
  "spacegroup": "No. 11",
  "cell": [[3.6902, 0.0000, -0.4953], [0.0000, 5.3222, 0.0000], [0.0409, 0.0000, 14.3572]],
  "species": ["Zn", "Zn", "Zn", "Zn", "Ca", "Ca", "Ca", "Ca", "Pr", "Pr"],
  "frac_coords": [[0.3678, 0.2500, 0.7356], [0.6322, 0.7500, 0.2644], [0.4503, 0.7500, 0.9004], [0.5497, 0.2500, 0.0996], [0.2225, 0.7500, 0.4454], [0.0435, 0.7500, 0.0871], [0.9565, 0.2500, 0.9129], [0.7775, 0.2500, 0.5546], [0.1372, 0.2500, 0.2733], [0.8628, 0.7500, 0.7267]]
}



No. 2
{
  "formula": "Ca5PrZn6",
  "functional": "GGA-PBE",
  "state": "relaxed",
  "formation_enthalpy_0k_ev_per_atom": -0.26,
  "crystal_system": "monoclinic",
  "total_energy_ev_per_atom": -2.127,
  "spacegroup": "No. 10",
  "cell": [[-0.8794, -3.5322, 3.7485], [-4.5732, -3.6321, -4.4944], [5.5312, -6.0485, -0.7406]],
  "species": ["Ca", "Ca", "Ca", "Ca", "Ca", "Zn", "Zn", "Zn", "Zn", "Zn", "Zn", "Pr"],
  "frac_coords": [[0.6684, 0.0000, 0.6632], [0.3340, 0.5000, 0.3322], [0.0000, 0.5000, 0.0000], [0.6660, 0.5000, 0.6678], [0.3316, 0.0000, 0.3368], [0.5000, 0.7550, 0.0000], [0.5000, 0.2450, 0.0000], [0.8335, 0.7520, 0.3321], [0.1665, 0.2480, 0.6679], [0.1665, 0.7520, 0.6679], [0.8335, 0.2480, 0.3321], [0.0000, 0.0000, 0.0000]]
}



No. 3
{
  "formula": "Ca2PrZn3",
  "functional": "GGA-PBE",
  "state": "relaxed",
  "formation_enthalpy_0k_ev_per_atom": -0.28,
  "crystal_system": "trigonal",
  "polymorph_energy_ev_per_atom": 0.000,
  "total_energy_ev_per_atom": -2.378,
  "spacegroup": "No. 164",
  "cell": [[5.2110, 0.0000, 0.0000], [-2.6055, 4.5128, 0.0000], [0.0000, 0.0000, 6.4122]],
  "species": ["Pr", "Ca", "Ca", "Zn", "Zn", "Zn"],
  "frac_coords": [[0.0000, 0.0000, 0.0000], [0.6667, 0.3333, 0.3417], [0.3333, 0.6667, 0.6583], [0.0000, 0.0000, 0.5000], [0.6667, 0.3333, 0.8410], [0.3333, 0.6667, 0.1590]]
}



No. 4
{
  "formula": "Ca2PrZn",
  "functional": "GGA-PBE",
  "state": "relaxed",
  "formation_enthalpy_0k_ev_per_atom": 0.13,
  "crystal_system": "trigonal",
  "polymorph_energy_ev_per_atom": 0.271,
  "total_energy_ev_per_atom": -2.382,
  "spacegroup": "No. 166",
  "cell": [[3.6436, 0.0000, 0.0000], [1.8218, 3.1555, 0.0000], [1.8218, 1.0518, 11.7306]],
  "species": ["Ca", "Ca", "Pr", "Zn"],
  "frac_coords": [[0.8980, 0.8980, 0.3059], [0.1020, 0.1020, 0.6941], [0.0000, 0.0000, 0.0000], [0.5000, 0.5000, 0.5000]]
}



No. 5
{
  "formula": "Ca5PrZn4",
  "functional": "GGA-PBE",
  "state": "relaxed",
  "formation_enthalpy_0k_ev_per_atom": -0.16,
  "crystal_system": "tetragonal",
  "total_energy_ev_per_atom": -2.149,
  "spacegroup": "No. 123",
  "cell": [[3.6711, 0.0000, 0.0000], [0.0000, 3.6711, 0.0000], [0.0000, 0.0000, 20.3747]],
  "species": ["Ca", "Ca", "Ca", "Ca", "Ca", "Zn", "Zn", "Zn", "Zn", "Pr"],
  "frac_coords": [[0.5000, 0.5000, 0.6805], [0.5000, 0.5000, 0.1400], [0.5000, 0.5000, 0.3195], [0.5000, 0.5000, 0.5000], [0.5000, 0.5000, 0.8600], [0.0000, 0.0000, 0.5888], [0.0000, 0.0000, 0.7719], [0.0000, 0.0000, 0.2281], [0.0000, 0.0000, 0.4112], [0.0000, 0.0000, 0.0000]]
}



No. 6
{
  "formula": "Ca2Pr3Zn3",
  "functional": "GGA-PBE",
  "state": "relaxed",
  "formation_enthalpy_0k_ev_per_atom": -0.17,
  "crystal_system": "orthorhombic",
  "total_energy_ev_per_atom": -2.942,
  "spacegroup": "No. 71",
  "cell": [[3.6685, 0.0000, -0.5908], [-0.2025, 5.2285, -1.2573], [0.0710, 0.1493, 12.1256]],
  "species": ["Zn", "Zn", "Zn", "Pr", "Pr", "Pr", "Ca", "Ca"],
  "frac_coords": [[0.0000, 0.5000, 0.0000], [0.1085, 0.1085, 0.2170], [0.8915, 0.8915, 0.7830], [0.6109, 0.6109, 0.2217], [0.5000, 0.0000, 0.0000], [0.3891, 0.3891, 0.7783], [0.7177, 0.2177, 0.4353], [0.2823, 0.7823, 0.5647]]
}



No. 7
{
  "formula": "CaPr2Zn",
  "functional": "GGA-PBE",
  "state": "relaxed",
  "formation_enthalpy_0k_ev_per_atom": 0.02,
  "crystal_system": "cubic",
  "polymorph_energy_ev_per_atom": 0.145,
  "total_energy_ev_per_atom": -3.184,
  "spacegroup": "No. 225",
  "cell": [[5.5603, 0.0000, 0.0000], [2.7801, 4.8153, 0.0000], [2.7801, 1.6051, 4.5400]],
  "species": ["Zn", "Pr", "Pr", "Ca"],
  "frac_coords": [[0.0000, 0.0000, 0.0000], [0.7500, 0.7500, 0.7500], [0.2500, 0.2500, 0.2500], [0.5000, 0.5000, 0.5000]]
}



No. 8
{
  "formula": "CaPr2Zn6",
  "functional": "GGA-PBE",
  "state": "relaxed",
  "formation_enthalpy_0k_ev_per_atom": -0.32,
  "crystal_system": "hexagonal",
  "total_energy_ev_per_atom": -2.451,
  "spacegroup": "No. 191",
  "cell": [[-2.9689, -2.0541, -0.4346], [0.2463, 1.3024, -7.8381], [3.8462, -6.2189, 3.1187]],
  "species": ["Zn", "Zn", "Zn", "Zn", "Zn", "Zn", "Pr", "Pr", "Ca"],
  "frac_coords": [[0.5000, 0.6695, 0.6695], [0.5000, 0.3305, 0.0000], [0.5000, 0.0000, 0.6695], [0.5000, 0.3305, 0.3305], [0.5000, 0.6695, 0.0000], [0.5000, 0.0000, 0.3305], [0.0000, 0.3333, 0.6667], [0.0000, 0.6667, 0.3333], [0.0000, 0.0000, 0.0000]]
}



No. 9
{
  "formula": "Ca2PrZr",
  "functional": "GGA-PBE",
  "state": "relaxed",
  "formation_enthalpy_0k_ev_per_atom": 0.44,
  "crystal_system": "trigonal",
  "total_energy_ev_per_atom": -3.889,
  "spacegroup": "No. 166",
  "cell": [[-0.0012, 2.5471, 2.2969], [-2.2747, 2.5526, -0.2712], [-9.1308, -4.9746, 8.0724]],
  "species": ["Pr", "Zr", "Ca", "Ca"],
  "frac_coords": [[0.5000, 0.5000, 0.5000], [0.0000, 0.0000, 0.0000], [0.9163, 0.9163, 0.2512], [0.0837, 0.0837, 0.7488]]
}



No. 10
{
  "formula": "CaPr2Zr",
  "functional": "GGA-PBE",
  "state": "relaxed",
  "formation_enthalpy_0k_ev_per_atom": 0.15,
  "crystal_system": "trigonal",
  "polymorph_energy_ev_per_atom": 0.031,
  "total_energy_ev_per_atom": -4.878,
  "spacegroup": "No. 160",
  "cell": [[3.5662, 0.0000, 0.0000], [1.7831, 3.0884, 0.0000], [1.7831, 1.0295, 12.0573]],
  "species": ["Ca", "Zr", "Pr", "Pr"],
  "frac_coords": [[0.4994, 0.4994, 0.5017], [0.6668, 0.6668, 0.9996], [0.0743, 0.0743, 0.7770], [0.2595, 0.2595, 0.2216]]
}



No. 11
{
  "formula": "CaPr2Zr",
  "functional": "GGA-PBE",
  "state": "relaxed",
  "formation_enthalpy_0k_ev_per_atom": 0.39,
  "crystal_system": "trigonal",
  "polymorph_energy_ev_per_atom": 0.273,
  "total_energy_ev_per_atom": -4.636,
  "spacegroup": "No. 166",
  "cell": [[3.4382, 0.0000, 0.0000], [1.7191, 2.9776, 0.0000], [1.7191, 0.9925, 12.7620]],
  "species": ["Ca", "Pr", "Pr", "Zr"],
  "frac_coords": [[0.5000, 0.5000, 0.5000], [0.9187, 0.9187, 0.2439], [0.0813, 0.0813, 0.7561], [0.0000, 0.0000, 0.0000]]
}



No. 12
{
  "formula": "CaPr2Zr",
  "functional": "GGA-PBE",
  "state": "relaxed",
  "formation_enthalpy_0k_ev_per_atom": 0.12,
  "crystal_system": "tetragonal",
  "polymorph_energy_ev_per_atom": 0.000,
  "total_energy_ev_per_atom": -4.909,
  "spacegroup": "No. 123",
  "cell": [[3.5822, 0.0000, 0.0000], [0.0000, 3.5822, 0.0000], [0.0000, 0.0000, 10.3720]],
  "species": ["Pr", "Pr", "Ca", "Zr"],
  "frac_coords": [[0.0000, 0.0000, 0.2184], [0.0000, 0.0000, 0.7816], [0.5000, 0.5000, 0.5000], [0.5000, 0.5000, 0.0000]]
}